Entry 1:
Below is a geometry-optimized MgZr2O structure, with properties calculated at the GGA-PBE level.

energy above the lowest structure with this stoichiometry = 4.50 kcal/mol of atoms
formation energy from raw total energies = -0.958 eV per atom
SG = I-42d

Cell lengths 6.701, 6.701, 7.343 Å; angles 90.00, 90.00, 90.00 degrees
Positions (direct):
Mg1 0.000 0.000 0.000
Mg2 0.000 0.500 0.250
Mg3 0.500 0.000 0.750
Mg4 0.500 0.500 0.500
Zr1 0.130 0.250 0.625
Zr2 0.250 0.630 0.875
Zr3 0.250 0.870 0.375
Zr4 0.370 0.250 0.125
Zr5 0.630 0.750 0.125
Zr6 0.750 0.130 0.375
Zr7 0.750 0.370 0.875
Zr8 0.870 0.750 0.625
O1 0.000 0.000 0.500
O2 0.000 0.500 0.750
O3 0.500 0.000 0.250
O4 0.500 0.500 0.000

---

Entry 2:
Below is a geometry-optimized CaTl3 structure, with properties calculated at the GGA-PBE level.

E = -2.38 eV per atom
SG = R-3m

Cell lengths 3.733, 3.733, 31.092 Å; angles 90.00, 90.00, 120.00 degrees
Positions (direct):
Ca1 0.000 0.000 0.000
Ca2 0.333 0.667 0.667
Ca3 0.667 0.333 0.333
Tl1 0.000 0.000 0.252
Tl2 0.000 0.000 0.500
Tl3 0.000 0.000 0.748
Tl4 0.333 0.667 0.167
Tl5 0.333 0.667 0.415
Tl6 0.333 0.667 0.918
Tl7 0.667 0.333 0.082
Tl8 0.667 0.333 0.585
Tl9 0.667 0.333 0.833

---

Entry 3:
Below is a geometry-optimized Li2FeHg structure, with properties calculated at the GGA-PBE level.

E = -2.98 eV per atom
SG = Cmmm

Cell lengths 5.617, 7.665, 2.934 Å; angles 90.00, 90.00, 90.00 degrees
Positions (direct):
Li1 0.250 0.250 0.000
Li2 0.250 0.750 0.000
Li3 0.750 0.250 0.000
Li4 0.750 0.750 0.000
Fe1 0.000 0.000 0.500
Fe2 0.500 0.500 0.500
Hg1 0.000 0.500 0.500
Hg2 0.500 0.000 0.500

---

Entry 4:
Below is a geometry-optimized Sm14ErPu structure, with properties calculated at the GGA-PBE level.

E = -5.26 eV per atom
SG = Amm2

Cell lengths 11.583, 7.316, 7.316 Å; angles 60.07, 90.00, 90.00 degrees
Positions (direct):
Sm1 0.000 0.000 0.000
Sm2 0.000 0.000 0.500
Sm3 0.000 0.500 0.000
Sm4 0.000 0.500 0.500
Sm5 0.250 0.333 0.333
Sm6 0.253 0.834 0.834
Sm7 0.255 0.329 0.834
Sm8 0.255 0.834 0.329
Sm9 0.500 0.000 0.502
Sm10 0.500 0.502 0.000
Sm11 0.745 0.329 0.834
Sm12 0.745 0.834 0.329
Sm13 0.747 0.834 0.834
Sm14 0.750 0.333 0.333
Er1 0.500 0.500 0.500
Pu1 0.500 0.999 0.999

---

Entry 5:
Below is a geometry-optimized MgFe2Ag structure, with properties calculated at the GGA-PBE level.

E = -5.07 eV per atom
SG = I-4m2

Cell lengths 3.986, 3.986, 7.444 Å; angles 90.00, 90.00, 90.00 degrees
Positions (direct):
Mg1 0.000 0.000 0.000
Mg2 0.500 0.500 0.500
Fe1 0.000 0.000 0.500
Fe2 0.000 0.500 0.250
Fe3 0.500 0.000 0.750
Fe4 0.500 0.500 0.000
Ag1 0.000 0.500 0.750
Ag2 0.500 0.000 0.250

---

Entry 6:
Below is a geometry-optimized OsBrCl2 structure, with properties calculated at the GGA-PBE level.

energy above the lowest structure with this stoichiometry = 19.58 kcal/mol of atoms
formation energy from raw total energies = 0.759 eV per atom
SG = Pmmm

Cell lengths 2.909, 3.245, 9.765 Å; angles 90.00, 90.00, 90.00 degrees
Positions (direct):
Os1 0.000 0.000 0.000
Br1 0.000 0.000 0.500
Cl1 0.500 0.500 0.148
Cl2 0.500 0.500 0.852

---

Entry 7:
Below is a geometry-optimized Th3HgN structure, with properties calculated at the GGA-PBE level.

formation energy from raw total energies = -0.688 eV per atom
SG = Pm-3m

Cell lengths 4.996, 4.996, 4.996 Å; angles 90.00, 90.00, 90.00 degrees
Positions (direct):
Th1 0.000 0.000 0.500
Th2 0.000 0.500 0.000
Th3 0.500 0.000 0.000
Hg1 0.500 0.500 0.500
N1 0.000 0.000 0.000

---

Entry 8:
Below is a geometry-optimized Na3Pd3RhO8 structure, with properties calculated at the GGA-PBE level.

formation energy from raw total energies = -0.830 eV per atom
SG = C2/m

Cell lengths 6.446, 6.446, 6.340 Å; angles 117.04, 117.04, 57.26 degrees
Positions (direct):
Na1 0.000 0.000 0.000
Na2 0.000 0.500 0.000
Na3 0.500 0.000 0.000
Pd1 0.000 0.500 0.500
Pd2 0.500 0.000 0.500
Pd3 0.500 0.500 0.500
Rh1 0.000 0.000 0.500
O1 0.215 0.215 0.688
O2 0.220 0.712 0.677
O3 0.231 0.231 0.268
O4 0.288 0.780 0.323
O5 0.712 0.220 0.677
O6 0.769 0.769 0.732
O7 0.780 0.288 0.323
O8 0.785 0.785 0.312